(1)
A relaxed Cs2In5Ag4 crystal, computed with GGA-PBE.

The space group is C2/m (No. 12) and the conventional cell measures 14.8789, 6.3577 and 9.2543 Å, with angles of 90.00, 126.80 and 90.00 degrees. The inequivalent atoms are Cs at (0.2250, 0.0000, 0.1424), In at (0.0000, 0.5000, 0.0000), In at (0.0468, 0.2510, 0.3303), Ag at (0.1112, 0.0000, 0.6610) and Ag at (0.2390, 0.5000, 0.4258).

The calculation puts the density of states at the Fermi level at 0.53 states/eV per atom. Its total moment is 0.00 μB/f.u. The total DFT energy (no corrections) is -2.412 eV/atom.

=====

(2)
A relaxed Cs2In2Ag crystal, computed with GGA-PBE.

The space group is Cmcm (No. 63) and the conventional cell measures 12.0878, 9.0782 and 8.3719 Å, with angles of 90.00, 90.00 and 90.00 degrees. The inequivalent atoms are Cs at (0.1922, 0.0000, 0.0000), In at (0.0000, 0.3420, 0.0810) and Ag at (0.0000, 0.3706, 0.7500).

The calculation puts the density of states at the Fermi level at 0.52 states/eV per atom. Its total moment is 0.00 μB/f.u. The excess energy over the best structure of this formula in the dataset is 0 meV per atom. The total DFT energy (no corrections) is -2.035 eV/atom.

=====

(3)
A relaxed Cs2InAg crystal, computed with GGA-PBE.

The space group is Cm (No. 8) and the conventional cell measures 8.7133, 5.0326 and 10.4546 Å, with angles of 90.00, 106.05 and 90.00 degrees. The inequivalent atoms are Cs at (0.0000, 0.0000, 0.0000), Cs at (0.1751, 0.0000, 0.5266), In at (0.4208, 0.0000, 0.2632) and Ag at (0.2543, 0.5000, 0.2635).

The calculation puts the density of states at the Fermi level at 0.81 states/eV per atom. Its total moment is 0.00 μB/f.u. The excess energy over the best structure of this formula in the dataset is 0 meV per atom. The total DFT energy (no corrections) is -1.840 eV/atom.

=====

Question: total moment of number 2 (Cs2In2Ag)?
Answer: 0.00 μB/f.u.